Record 1
Compound: V8Ga3Mo4S24
Source: Alexandria via LeMat-Bulk
Functional: GGA-PBE
Structure: optimized geometry

Cell lengths 6.8586, 9.7423, 12.0101 Å; angles 65.59, 73.00, 89.01 degrees
Last column: magnetic moment on the atom in μB.
Element x y z (fractional)
1 V 0.6054 0.1973 0.8079  0.76
2 V 0.7909 0.3951 0.9990  1.06
3 V 0.9289 0.5368 0.1410  1.14
4 V 0.7460 0.3404 0.5239  0.77
5 V 0.4130 0.0072 0.1914  0.76
6 V 0.1276 0.7232 0.3335  0.79
7 V 0.4618 0.0567 0.6661  0.77
8 V 0.2707 0.8651 0.4747  0.74
9 S 0.7311 0.1361 0.9997  -0.03
10 S 0.5786 0.4377 0.8478  -0.03
11 S 0.4271 0.2873 0.1505  -0.03
12 S 0.5897 0.9729 0.3333  -0.02
13 S 0.3965 0.8011 0.6668  -0.02
14 S 0.2773 0.1367 0.9994  -0.02
15 S 0.7573 0.6216 0.4829  -0.02
16 S 0.4109 0.7951 0.1558  -0.02
17 S 0.2406 0.1049 0.5163  -0.02
18 S 0.9082 0.2862 0.1737  -0.04
19 S 0.6058 0.4713 0.3337  -0.02
20 S 0.7331 0.6263 0.0045  -0.03
21 S 0.0627 0.4689 0.3326  -0.03
22 S 0.5662 0.9488 0.8444  -0.02
23 S 0.7445 0.1279 0.4881  -0.02
24 S 0.9072 0.7733 0.1834  -0.02
25 S 0.2327 0.6162 0.5117  -0.02
26 S 0.9237 0.3052 0.6654  -0.02
27 S 0.4186 0.2915 0.6663  -0.05
28 S 0.0820 0.4521 0.8248  -0.01
29 S 0.0847 0.9588 0.3329  -0.05
30 S 0.2593 0.6325 0.0052  -0.01
31 S 0.9397 0.8042 0.6656  -0.01
32 S 0.0908 0.9557 0.8172  -0.01
33 Ga 0.0070 0.9985 0.0000  0.01
34 Ga 0.6735 0.6635 0.6651  0.01
35 Ga 0.3391 0.3307 0.3331  0.01
36 Mo 0.8626 0.0682 0.6663  -0.23
37 Mo 0.5289 0.7358 0.3338  -0.22
38 Mo 0.0698 0.6688 0.8640  0.27
39 Mo 0.2067 0.4005 0.9977  0.28

Results
E_form (uncorrected)	-0.879	eV per atom
theoretical density	4236	kg/m3
N(E_F)	5.976	states/eV/cell
magnetization	7.076	Bohr magnetons per cell
space group	P1

=====

Record 2
Compound: TmZnInIr
Source: Alexandria via LeMat-Bulk
Functional: GGA-PBE
Structure: optimized geometry

Cell lengths 4.7454, 4.7454, 4.7454 Å; angles 60.00, 60.00, 60.00 degrees
Element x y z (fractional)
1 In 0.2500 0.2500 0.2500
2 Tm 0.7500 0.7500 0.7500
3 Zn 0.0000 0.0000 0.0000
4 Ir 0.5000 0.5000 0.5000

Results
theoretical density	11897	kg/m3
N(E_F)	1.729	states/eV/cell
formation energy	-0.413	eV/atom
magnetization	0.000	Bohr magnetons per cell
space group	F-43m